No. 1
# Mg11In9Ir4 (PBE, optimized geometry)
# M_tot ... 0.0 μB per formula unit
# ΔH_f (0 K) ... -0.19 eV/atom
# Electronic total energy ... -3.4199 eV/atom
data_Mg11In9Ir4
_chemical_formula_sum 'Mg22 In18 Ir8'
_cell_length_a 14.241
_cell_length_b 21.107
_cell_length_c 3.260
_cell_angle_alpha 90.00
_cell_angle_beta 90.00
_cell_angle_gamma 90.00
_space_group_name_H-M_alt 'C m m m'
_space_group_IT_number 65
_space_group_name_Hall '-C 2 2'
loop_
_atom_site_label
_atom_site_type_symbol
_atom_site_fract_x
_atom_site_fract_y
_atom_site_fract_z
Mg1 Mg 0.000 0.000 0.000
Mg2 Mg 0.000 0.156 0.000
Mg3 Mg 0.000 0.375 0.000
Mg4 Mg 0.185 0.500 0.000
Mg5 Mg 0.243 0.174 0.000
In1 In 0.000 0.500 0.500
In2 In 0.107 0.265 0.500
In3 In 0.151 0.073 0.500
Ir1 Ir 0.152 0.399 0.500

***

No. 2
# Ho2Tm2S3 (PBE, optimized geometry)
# M_tot ... 0.0 μB per formula unit
# Electronic total energy ... -6.0282 eV/atom
# Formation energy from raw total energies ... -1673.8 meV per atom
data_Ho2Tm2S3
_chemical_formula_sum 'Ho4 Tm4 S6'
_cell_length_a 12.670
_cell_length_b 3.796
_cell_length_c 6.624
_cell_angle_alpha 90.00
_cell_angle_beta 100.07
_cell_angle_gamma 90.00
_space_group_name_H-M_alt 'C 1 2/m 1'
_space_group_IT_number 12
_space_group_name_Hall '-C 2y'
loop_
_atom_site_label
_atom_site_type_symbol
_atom_site_fract_x
_atom_site_fract_y
_atom_site_fract_z
Ho1 Ho 0.123 0.000 0.381
Tm1 Tm 0.126 0.500 0.875
S1 S 0.000 0.000 0.000
S2 S 0.247 0.500 0.245

***

Q: What is the M_tot in the second record?
A: 0.0 μB per formula unit

***

Q: M_tot of number 2 (Ho2Tm2S3)?
A: 0.0 μB per formula unit

***

Q: What is the formula in the first record?
A: Mg11In9Ir4